# PmHoIrPt | Alexandria via LeMat-Bulk | GGA-PBE | relaxed
# - E_tot (eV/cell) = -27.98
# - symmetry = F-43m (216)
# - energy relative to the elements (eV/atom) = -0.9379
# - M_tot (μB/atom) = 0.00
data_PmHoIrPt
_symmetry_space_group_name_H-M 'P 1'
_symmetry_Int_Tables_number 1
_cell_length_a 4.950
_cell_length_b 4.950
_cell_length_c 4.950
_cell_angle_alpha 60.00
_cell_angle_beta 60.00
_cell_angle_gamma 60.00
loop_
_symmetry_equiv_pos_as_xyz
'x,y,z'
loop_
_atom_site_label
_atom_site_type_symbol
_atom_site_fract_x
_atom_site_fract_y
_atom_site_fract_z
Pm1 Pm 0.000 0.000 0.000
Ho1 Ho 0.500 0.500 0.500
Ir1 Ir 0.250 0.250 0.250
Pt1 Pt 0.750 0.750 0.750

***

# PmHoIrPt | Alexandria via LeMat-Bulk | GGA-PBE | relaxed
# - E_tot (eV/cell) = -28.12
# - symmetry = Amm2 (38)
# - energy relative to the elements (eV/atom) = -0.9735
# - M_tot (μB/atom) = 0.00
data_PmHoIrPt
_symmetry_space_group_name_H-M 'P 1'
_symmetry_Int_Tables_number 1
_cell_length_a 4.317
_cell_length_b 5.728
_cell_length_c 5.728
_cell_angle_alpha 39.62
_cell_angle_beta 90.00
_cell_angle_gamma 90.00
loop_
_symmetry_equiv_pos_as_xyz
'x,y,z'
loop_
_atom_site_label
_atom_site_type_symbol
_atom_site_fract_x
_atom_site_fract_y
_atom_site_fract_z
Pm1 Pm 0.000 0.000 0.000
Ho1 Ho 0.500 0.715 0.715
Ir1 Ir 0.000 0.267 0.267
Pt1 Pt 0.500 0.438 0.438

***

# Pm2Ho2SiIr4 | Alexandria via LeMat-Bulk | GGA-PBE | relaxed
# - E_tot (eV/cell) = -63.40
# - symmetry = I4/mmm (139)
# - formation energy without anion corrections (eV per atom) = -0.430
# - M_tot (μB/atom) = 0.00
data_Pm2Ho2SiIr4
_symmetry_space_group_name_H-M 'P 1'
_symmetry_Int_Tables_number 1
_cell_length_a 6.435
_cell_length_b 6.435
_cell_length_c 6.435
_cell_angle_alpha 119.93
_cell_angle_beta 119.93
_cell_angle_gamma 90.11
loop_
_symmetry_equiv_pos_as_xyz
'x,y,z'
loop_
_atom_site_label
_atom_site_type_symbol
_atom_site_fract_x
_atom_site_fract_y
_atom_site_fract_z
Pm1 Pm 0.192 0.192 0.000
Pm2 Pm 0.808 0.808 0.000
Ho1 Ho 0.250 0.750 0.500
Ho2 Ho 0.750 0.250 0.500
Si1 Si 0.500 0.500 0.000
Ir1 Ir 0.247 0.247 0.494
Ir2 Ir 0.247 0.753 0.000
Ir3 Ir 0.753 0.247 0.000
Ir4 Ir 0.753 0.753 0.506

***

# Pm2HoSi3Ir4 | Alexandria via LeMat-Bulk | GGA-PBE | relaxed
# - E_tot (eV/cell) = -75.35
# - symmetry = P-4m2 (115)
# - formation energy without anion corrections (eV per atom) = -0.955
# - M_tot (μB/atom) = 0.00
data_Pm2HoSi3Ir4
_symmetry_space_group_name_H-M 'P 1'
_symmetry_Int_Tables_number 1
_cell_length_a 4.143
_cell_length_b 4.143
_cell_length_c 10.935
_cell_angle_alpha 90.00
_cell_angle_beta 90.00
_cell_angle_gamma 90.00
loop_
_symmetry_equiv_pos_as_xyz
'x,y,z'
loop_
_atom_site_label
_atom_site_type_symbol
_atom_site_fract_x
_atom_site_fract_y
_atom_site_fract_z
Pm1 Pm 0.000 0.500 0.232
Pm2 Pm 0.500 0.000 0.768
Ho1 Ho 0.000 0.000 0.500
Si1 Si 0.000 0.500 0.882
Si2 Si 0.500 0.000 0.118
Si3 Si 0.500 0.500 0.500
Ir1 Ir 0.000 0.000 0.000
Ir2 Ir 0.000 0.500 0.662
Ir3 Ir 0.500 0.000 0.338
Ir4 Ir 0.500 0.500 0.000

***

# Pm2Ho2Si4Ir | Alexandria via LeMat-Bulk | GGA-PBE | relaxed
# - E_tot (eV/cell) = -53.01
# - symmetry = I4/mmm (139)
# - formation energy without anion corrections (eV per atom) = -0.423
# - M_tot (μB/atom) = 0.00
data_Pm2Ho2Si4Ir
_symmetry_space_group_name_H-M 'P 1'
_symmetry_Int_Tables_number 1
_cell_length_a 6.475
_cell_length_b 6.475
_cell_length_c 6.475
_cell_angle_alpha 115.92
_cell_angle_beta 115.92
_cell_angle_gamma 97.23
loop_
_symmetry_equiv_pos_as_xyz
'x,y,z'
loop_
_atom_site_label
_atom_site_type_symbol
_atom_site_fract_x
_atom_site_fract_y
_atom_site_fract_z
Pm1 Pm 0.250 0.750 0.500
Pm2 Pm 0.750 0.250 0.500
Ho1 Ho 0.187 0.187 0.000
Ho2 Ho 0.813 0.813 0.000
Si1 Si 0.252 0.252 0.505
Si2 Si 0.252 0.748 0.000
Si3 Si 0.748 0.252 0.000
Si4 Si 0.748 0.748 0.495
Ir1 Ir 0.500 0.500 0.000

***

# PmHoSnIr | Alexandria via LeMat-Bulk | GGA-PBE | relaxed
# - E_tot (eV/cell) = -24.41
# - symmetry = F-43m (216)
# - energy relative to the elements (eV/atom) = -0.5534
# - M_tot (μB/atom) = 0.00
data_PmHoSnIr
_symmetry_space_group_name_H-M 'P 1'
_symmetry_Int_Tables_number 1
_cell_length_a 5.147
_cell_length_b 5.147
_cell_length_c 5.147
_cell_angle_alpha 60.00
_cell_angle_beta 60.00
_cell_angle_gamma 60.00
loop_
_symmetry_equiv_pos_as_xyz
'x,y,z'
loop_
_atom_site_label
_atom_site_type_symbol
_atom_site_fract_x
_atom_site_fract_y
_atom_site_fract_z
Pm1 Pm 0.000 0.000 0.000
Ho1 Ho 0.500 0.500 0.500
Sn1 Sn 0.750 0.750 0.750
Ir1 Ir 0.250 0.250 0.250

***

# PmHoTlIr | Alexandria via LeMat-Bulk | GGA-PBE | relaxed
# - E_tot (eV/cell) = -22.28
# - symmetry = F-43m (216)
# - energy relative to the elements (eV/atom) = -0.4323
# - M_tot (μB/atom) = 0.00
data_PmHoTlIr
_symmetry_space_group_name_H-M 'P 1'
_symmetry_Int_Tables_number 1
_cell_length_a 5.154
_cell_length_b 5.154
_cell_length_c 5.154
_cell_angle_alpha 60.00
_cell_angle_beta 60.00
_cell_angle_gamma 60.00
loop_
_symmetry_equiv_pos_as_xyz
'x,y,z'
loop_
_atom_site_label
_atom_site_type_symbol
_atom_site_fract_x
_atom_site_fract_y
_atom_site_fract_z
Pm1 Pm 0.000 0.000 0.000
Ho1 Ho 0.500 0.500 0.500
Tl1 Tl 0.250 0.250 0.250
Ir1 Ir 0.750 0.750 0.750

***

# PmHoTlIr | Alexandria via LeMat-Bulk | GGA-PBE | relaxed
# - E_tot (eV/cell) = -22.84
# - symmetry = P4mm (99)
# - energy relative to the elements (eV/atom) = -0.5708
# - M_tot (μB/atom) = 0.00
data_PmHoTlIr
_symmetry_space_group_name_H-M 'P 1'
_symmetry_Int_Tables_number 1
_cell_length_a 3.496
_cell_length_b 3.496
_cell_length_c 8.144
_cell_angle_alpha 90.00
_cell_angle_beta 90.00
_cell_angle_gamma 90.00
loop_
_symmetry_equiv_pos_as_xyz
'x,y,z'
loop_
_atom_site_label
_atom_site_type_symbol
_atom_site_fract_x
_atom_site_fract_y
_atom_site_fract_z
Pm1 Pm 0.000 0.000 0.000
Ho1 Ho 0.000 0.000 0.589
Tl1 Tl 0.500 0.500 0.303
Ir1 Ir 0.500 0.500 0.781